[1]
Compound: IrAu2Br
Source: Alexandria via LeMat-Bulk
Functional: GGA-PBE
Structure: optimized geometry

Cell lengths 2.7863, 2.7863, 11.3756 Å; angles 90.00, 90.00, 90.00 degrees
With the nearest neighbours (Å) after each atom.
Space group P4/mmm (No. 123)
Symmetry-distinct sites (fractional):
Ir 0.0000 0.0000 0.0000 [1 per cell]  4 Ir 2.79, 8 Au 2.87
Au 0.5000 0.5000 0.1831 [2 per cell]  4 Au 2.79, 4 Ir 2.87
Br 0.0000 0.0000 0.5000 [1 per cell]  4 Br 2.79

Results
* offset from the most stable computed form: 0.096 eV per atom

[2]
Compound: La6IrAu2Br3
Source: Alexandria via LeMat-Bulk
Functional: GGA-PBE
Structure: optimized geometry

Cell lengths 19.8473, 4.3305, 9.2740 Å; angles 90.00, 108.69, 90.00 degrees
With the nearest neighbours (Å) after each atom.
Space group C2/m (No. 12)
Symmetry-distinct sites (fractional):
La 0.0061 0.0000 0.2157 [4 per cell]  2 Ir 2.92, 1 Au 3.04
La 0.1487 0.5000 0.0952 [4 per cell]  1 Ir 2.80, 2 Au 3.06
La 0.1735 0.5000 0.5714 [4 per cell]  3 Au 2.99-3.04, 3 Br 3.28-3.29
Ir 0.0000 0.5000 0.0000 [2 per cell]  6 La 2.80-2.92
Au 0.1674 0.0000 0.3382 [4 per cell]  6 La 2.99-3.06
Br 0.0000 0.5000 0.5000 [2 per cell]  6 La 3.29-3.44
Br 0.1698 0.0000 0.8345 [4 per cell]  6 La 3.28-3.45

[3]
Compound: La8Ir3AuBr4
Source: Alexandria via LeMat-Bulk
Functional: GGA-PBE
Structure: optimized geometry

Cell lengths 8.5283, 8.5283, 23.6334 Å; angles 90.00, 90.00, 120.00 degrees
With the nearest neighbours (Å) after each atom.
Space group R-3m (No. 166, hexagonal axes)
Symmetry-distinct sites (fractional):
La 0.0000 0.0000 0.2325 [6 per cell]  3 Ir 2.91
La 0.0147 0.5074 0.7674 [18 per cell]  2 Ir 2.87, 1 Au 3.01
Ir 0.0000 0.5000 0.5000 [9 per cell]  6 La 2.87-2.91
Au 0.0000 0.0000 0.5000 [3 per cell]  6 La 3.01
Br 0.0000 0.0000 0.0000 [3 per cell]  6 La 3.35
Br 0.0000 0.5000 0.0000 [9 per cell]  6 La 3.43-3.47

[4]
Compound: La6Ir2AuBr3
Source: Alexandria via LeMat-Bulk
Functional: GGA-PBE
Structure: optimized geometry

Cell lengths 7.4124, 12.8445, 8.2582 Å; angles 90.00, 107.38, 90.00 degrees
With the nearest neighbours (Å) after each atom.
Space group C2/m (No. 12)
Symmetry-distinct sites (fractional):
La 0.2144 0.0000 0.1994 [4 per cell]  2 Ir 2.87, 1 Au 3.05
La 0.2425 0.3240 0.1994 [8 per cell]  2 Ir 2.87, 1 Au 3.05
Ir 0.0000 0.1667 0.0000 [4 per cell]  6 La 2.87
Au 0.0000 0.5000 0.0000 [2 per cell]  6 La 3.05
Br 0.0000 0.0000 0.5000 [2 per cell]  6 La 3.32-3.48
Br 0.0000 0.3334 0.5000 [4 per cell]  6 La 3.33-3.48

[5]
Compound: Mn2IrAuBr
Source: Alexandria via LeMat-Bulk
Functional: GGA-PBE
Structure: optimized geometry

Cell lengths 4.9548, 4.9548, 5.0277 Å; angles 90.00, 90.00, 90.00 degrees
With the nearest neighbours (Å) after each atom.
Space group P4/mmm (No. 123)
Symmetry-distinct sites (fractional):
Mn 0.0000 0.5000 0.0000 [2 per cell]  2 Ir 2.48
Ir 0.0000 0.0000 0.0000 [1 per cell]  4 Mn 2.48, 2 Au 2.51
Au 0.0000 0.0000 0.5000 [1 per cell]  2 Ir 2.51
Br 0.5000 0.5000 0.5000 [1 per cell]  4 Au 3.50, 8 Mn 3.53

Results
* offset from the most stable computed form: 0.000 eV per atom

[6]
Compound: Mn2IrAuBr
Source: Alexandria via LeMat-Bulk
Functional: GGA-PBE
Structure: optimized geometry

Cell lengths 4.2559, 4.2559, 4.8793 Å; angles 90.00, 90.00, 90.00 degrees
With the nearest neighbours (Å) after each atom.
Space group P4/mmm (No. 123)
Symmetry-distinct sites (fractional):
Mn 0.0000 0.5000 0.0000 [2 per cell]  2 Br 2.13
Ir 0.0000 0.0000 0.5000 [1 per cell]  4 Au 3.01, 8 Mn 3.24
Au 0.5000 0.5000 0.5000 [1 per cell]  2 Br 2.44
Br 0.5000 0.5000 0.0000 [1 per cell]  4 Mn 2.13

Results
* offset from the most stable computed form: 1.035 eV per atom

[7]
Compound: IrAuBrN
Source: Alexandria via LeMat-Bulk
Functional: GGA-PBE
Structure: optimized geometry

Cell lengths 5.6113, 3.2735, 5.7342 Å; angles 90.00, 117.06, 90.00 degrees
With the nearest neighbours (Å) after each atom.
Space group Pm (No. 6)
Symmetry-distinct sites (fractional):
Ir 0.0000 0.0000 0.0000 [1 per cell]  2 N 1.83
Au 0.7787 0.0000 0.3068 [1 per cell]  1 Br 2.54, 1 Ir 2.57
Br 0.5554 0.0000 0.6044 [1 per cell]  1 Ir 2.49, 1 Au 2.54
N 0.1483 0.5000 0.0028 [1 per cell]  2 Ir 1.83

Results
* offset from the most stable computed form: 0.094 eV per atom

[8]
Compound: IrAuBrN
Source: Alexandria via LeMat-Bulk
Functional: GGA-PBE
Structure: optimized geometry

Cell lengths 2.7998, 5.3793, 6.8745 Å; angles 81.28, 80.40, 89.99 degrees
With the nearest neighbours (Å) after each atom.
Space group P1 (No. 1)
Symmetry-distinct sites (fractional):
Ir 0.0000 0.0000 0.0000 [1 per cell]  2 N 1.91
Au 0.5542 0.6062 0.8682 [1 per cell]  1 N 2.08
Br 0.8674 0.7107 0.3302 [1 per cell]  1 Ir 2.52, 2 Br 2.80
N 0.5475 0.2165 0.8845 [1 per cell]  2 Ir 1.91, 1 Au 2.08

Results
* offset from the most stable computed form: 0.123 eV per atom

[9]
Compound: IrAuBrN
Source: Alexandria via LeMat-Bulk
Functional: GGA-PBE
Structure: optimized geometry

Cell lengths 3.2933, 5.9211, 6.7114 Å; angles 104.67, 102.29, 106.15 degrees
With the nearest neighbours (Å) after each atom.
Space group P1 (No. 1)
Symmetry-distinct sites (fractional):
Ir 0.0000 0.0000 0.0000 [1 per cell]  2 N 1.83
Au 0.2291 0.5987 0.8379 [1 per cell]  1 Br 2.56, 2 Ir 2.73
Br 0.9161 0.1221 0.6671 [1 per cell]  1 Ir 2.50, 1 Au 2.56
N 0.6050 0.1108 0.1143 [1 per cell]  2 Ir 1.83

Results
* offset from the most stable computed form: 0.060 eV per atom

[10]
Compound: IrAuBrN
Source: Alexandria via LeMat-Bulk
Functional: GGA-PBE
Structure: optimized geometry

Cell lengths 3.4554, 5.1601, 4.9057 Å; angles 90.00, 96.68, 90.00 degrees
With the nearest neighbours (Å) after each atom.
Space group Pm (No. 6)
Symmetry-distinct sites (fractional):
Ir 0.0000 0.0000 0.0000 [1 per cell]  2 N 1.88
Au 0.5813 0.0000 0.4364 [1 per cell]  1 N 2.09
Br 0.0162 0.5000 0.1156 [1 per cell]  2 Ir 2.64
N 0.4762 0.0000 0.8479 [1 per cell]  2 Ir 1.88, 1 Au 2.09

Results
* offset from the most stable computed form: 0.003 eV per atom

[11]
Compound: IrAuBrN
Source: Alexandria via LeMat-Bulk
Functional: GGA-PBE
Structure: optimized geometry

Cell lengths 3.1600, 5.4595, 6.2922 Å; angles 78.01, 88.62, 73.19 degrees
With the nearest neighbours (Å) after each atom.
Space group P1 (No. 1)
Symmetry-distinct sites (fractional):
Ir 0.0000 0.0000 0.0000 [1 per cell]  2 N 1.89
Au 0.2343 0.5413 0.8991 [1 per cell]  1 N 2.08
Br 0.5679 0.8320 0.3272 [1 per cell]  2 Ir 2.60
N 0.4295 0.1540 0.8662 [1 per cell]  2 Ir 1.89, 1 Au 2.08

Results
* offset from the most stable computed form: 0.000 eV per atom

[12]
Compound: IrAuBrN
Source: Alexandria via LeMat-Bulk
Functional: GGA-PBE
Structure: optimized geometry

Cell lengths 15.0426, 4.7647, 2.7896 Å; angles 90.00, 100.11, 90.00 degrees
With the nearest neighbours (Å) after each atom.
Space group Cm (No. 8)
Symmetry-distinct sites (fractional):
Ir 0.0000 0.0000 0.0000 [2 per cell]  1 N 1.69
Au 0.0188 0.5000 0.5178 [2 per cell]  4 Ir 2.77, 2 Au 2.79
Br 0.1846 0.0000 0.1748 [2 per cell]  1 Ir 2.73, 2 Br 2.79
N 0.3860 0.5000 0.8920 [2 per cell]  1 Ir 1.69

Results
* offset from the most stable computed form: 0.157 eV per atom

[13]
Compound: IrAuBrN
Source: Alexandria via LeMat-Bulk
Functional: GGA-PBE
Structure: optimized geometry

Cell lengths 5.0008, 3.5241, 10.6161 Å; angles 90.00, 90.00, 90.00 degrees
With the nearest neighbours (Å) after each atom.
Space group Amm2 (No. 38)
Symmetry-distinct sites (fractional):
Ir 0.0000 0.0000 0.0000 [2 per cell]  2 N 1.88
Au 0.0000 0.0000 0.2465 [2 per cell]  1 N 2.04
Br 0.5000 0.0000 0.0674 [2 per cell]  2 Ir 2.60
N 0.0000 0.0000 0.4386 [2 per cell]  2 Ir 1.88, 1 Au 2.04

Results
* offset from the most stable computed form: 0.023 eV per atom

[14]
Compound: NaIrAu2Br
Source: Alexandria via LeMat-Bulk
Functional: GGA-PBE
Structure: optimized geometry

Cell lengths 4.9671, 4.9671, 4.8242 Å; angles 90.00, 90.00, 90.00 degrees
With the nearest neighbours (Å) after each atom.
Space group P4/mmm (No. 123)
Symmetry-distinct sites (fractional):
Na 0.0000 0.0000 0.0000 [1 per cell]  2 Br 2.41, 4 Au 2.48
Ir 0.5000 0.5000 0.5000 [1 per cell]  8 Au 3.46, 4 Br 3.51
Au 0.0000 0.5000 0.0000 [2 per cell]  2 Na 2.48
Br 0.0000 0.0000 0.5000 [1 per cell]  2 Na 2.41

Total magnetic moment? In order: 0.37 0.00 0.00 0.00 9.23 0.31 0.00 0.00 0.00 0.00 0.00 0.00 0.00 1.48 μB per cell.
Formation energy from raw total energies? In order: 211 -1287 -1854 -1380 363 862 227 238 214 192 191 251 199 647 kJ/mol of formula units.